# 1
## K4CaAg (PBE-GGA)

Data for an optimized crystal structure of K4CaAg.

```
K4CaAg
1.0
0.000 5.446 5.446
5.446 0.000 5.446
5.446 5.446 0.000
K Ca Ag
4 1 1
Cartesian
1.354 1.354 1.354 K
4.092 4.092 1.354 K
4.092 1.354 4.092 K
1.354 4.092 4.092 K
5.446 5.446 5.446 Ca
8.169 8.169 8.169 Ag
```

Calculated values
Calculated total energy in eV/atom: -1.19

# 2
## Y5MgRu4 (PBE-GGA)

Data for an optimized crystal structure of Y5MgRu4.

```
Y5MgRu4
1.0
3.427 0.000 0.000
0.000 3.427 0.000
0.000 0.000 18.409
Y Mg Ru
5 1 4
Cartesian
0.000 0.000 0.000 Y
0.000 0.000 3.384 Y
0.000 0.000 6.761 Y
0.000 0.000 11.648 Y
0.000 0.000 15.025 Y
1.713 1.713 9.204 Mg
1.713 1.713 1.715 Ru
1.713 1.713 5.199 Ru
1.713 1.713 13.210 Ru
1.713 1.713 16.694 Ru
```

Calculated values
Calculated total energy in eV/atom: -7.39

# 3
## GaNi (PBE-GGA)

Data for an optimized crystal structure of GaNi.

```
GaNi
1.0
4.807 0.000 0.000
0.000 4.807 0.000
0.000 0.000 4.871
Ga Ni
4 4
Cartesian
0.954 0.954 0.000 Ga
1.449 3.358 2.436 Ga
3.358 1.449 2.436 Ga
3.853 3.853 0.000 Ga
0.927 0.927 2.436 Ni
1.476 3.331 0.000 Ni
3.331 1.476 0.000 Ni
3.880 3.880 2.436 Ni
```

Calculated values
Calculated total energy in eV/atom: -4.46

We obtain density of states at the Fermi level values of 3.03 6.26 0.93 states/eV/f.u. for the records listed above, in that order.